1.
# SrMn3S

A crystal of SrMn3S relaxed with PBEsol (meta-GGA SCAN, the Alexandria database).

Cell lengths 4.4711, 4.4711, 4.4711 Å; angles 90.00, 90.00, 90.00 degrees
Site moments in Bohr magnetons follow the coordinates.
Sites, in units of the cell vectors:
Mn (0.5000, 0.0000, 0.0000)  3.40
Mn (0.0000, 0.0000, 0.5000)  3.40
Mn (0.0000, 0.5000, 0.0000)  3.40
S (0.0000, 0.0000, 0.0000)  -0.10
Sr (0.5000, 0.5000, 0.5000)  -0.20

- Space-group type: Pm-3m (221)
- Crystal system: cubic

=====

2.
# Ta4MnS8

A crystal of Ta4MnS8 relaxed with PBEsol (meta-GGA SCAN, the Alexandria database).

Cell lengths 6.5849, 6.5849, 11.9506 Å; angles 90.00, 90.00, 120.00 degrees
Site moments in Bohr magnetons follow the coordinates.
Sites, in units of the cell vectors:
S (0.6667, 0.3333, 0.6152)  0.01
S (0.8315, 0.6630, 0.1202)  0.02
S (0.6667, 0.3333, 0.8848)  0.01
S (0.3333, 0.6667, 0.1152)  0.01
S (0.1685, 0.8315, 0.6202)  0.02
S (0.8315, 0.1685, 0.1202)  0.02
S (0.1685, 0.8315, 0.8798)  0.02
S (0.3370, 0.1685, 0.3798)  0.02
S (0.3333, 0.6667, 0.3848)  0.01
S (0.1685, 0.3370, 0.8798)  0.02
S (0.8315, 0.6630, 0.3798)  0.02
S (0.1685, 0.3370, 0.6202)  0.02
S (0.3370, 0.1685, 0.1202)  0.02
S (0.6630, 0.8315, 0.8798)  0.02
S (0.6630, 0.8315, 0.6202)  0.02
S (0.8315, 0.1685, 0.3798)  0.02
Ta (0.4938, 0.9876, 0.2500)  -0.04
Ta (0.5062, 0.4938, 0.7500)  -0.04
Ta (0.4938, 0.5062, 0.2500)  -0.04
Ta (0.0000, 0.0000, 0.2500)  -0.09
Ta (0.0000, 0.0000, 0.7500)  -0.09
Ta (0.9876, 0.4938, 0.7500)  -0.04
Ta (0.5062, 0.0124, 0.7500)  -0.04
Ta (0.0124, 0.5062, 0.2500)  -0.04
Mn (0.0000, 0.0000, 0.5000)  3.91
Mn (0.0000, 0.0000, 0.0000)  3.91

- Space-group type: P6_3/mmc (194)
- Crystal system: hexagonal

=====

3.
# TaMn3S

A crystal of TaMn3S relaxed with PBEsol (meta-GGA SCAN, the Alexandria database).

Cell lengths 4.6186, 4.6186, 4.6186 Å; angles 90.00, 90.00, 90.00 degrees
Site moments in Bohr magnetons follow the coordinates.
Sites, in units of the cell vectors:
Mn (0.0000, 0.5000, 0.0000)  3.38
Mn (0.0000, 0.0000, 0.5000)  3.38
Mn (0.5000, 0.0000, 0.0000)  3.38
Ta (0.0000, 0.0000, 0.0000)  -1.31
S (0.5000, 0.5000, 0.5000)  0.06

- Space-group type: Pm-3m (221)
- Crystal system: cubic

=====

4.
# Ti5MnS10

A crystal of Ti5MnS10 relaxed with PBEsol (meta-GGA SCAN, the Alexandria database).

Cell lengths 3.3440, 3.3440, 28.3992 Å; angles 90.00, 90.00, 120.00 degrees
Site moments in Bohr magnetons follow the coordinates.
Sites, in units of the cell vectors:
Mn (0.0000, 0.0000, 0.5000)  3.73
Ti (0.0000, 0.0000, 0.0000)  0.00
Ti (0.0000, 0.0000, 0.6045)  -0.26
Ti (0.0000, 0.0000, 0.1984)  0.00
Ti (0.0000, 0.0000, 0.3955)  -0.26
Ti (0.0000, 0.0000, 0.8016)  0.00
S (0.6667, 0.3333, 0.2489)  0.00
S (0.6667, 0.3333, 0.4502)  0.04
S (0.3333, 0.6667, 0.7511)  0.00
S (0.6667, 0.3333, 0.8518)  0.00
S (0.3333, 0.6667, 0.5498)  0.04
S (0.3333, 0.6667, 0.1482)  0.00
S (0.6667, 0.3333, 0.6537)  0.02
S (0.6667, 0.3333, 0.0503)  0.00
S (0.3333, 0.6667, 0.9497)  0.00
S (0.3333, 0.6667, 0.3463)  0.02

- Space-group type: P-3m1 (164)
- Crystal system: trigonal

=====

5.
# Ti4MnS8

A crystal of Ti4MnS8 relaxed with PBEsol (meta-GGA SCAN, the Alexandria database).

Cell lengths 3.3431, 3.3431, 22.7643 Å; angles 90.00, 90.00, 120.00 degrees
Site moments in Bohr magnetons follow the coordinates.
Sites, in units of the cell vectors:
S (0.3333, 0.6667, 0.3081)  0.02
S (0.6667, 0.3333, 0.9389)  0.00
S (0.3333, 0.6667, 0.5622)  0.04
S (0.3333, 0.6667, 0.0611)  0.00
S (0.6667, 0.3333, 0.1868)  0.00
S (0.6667, 0.3333, 0.6919)  0.02
S (0.3333, 0.6667, 0.8132)  0.00
S (0.6667, 0.3333, 0.4378)  0.04
Ti (0.0000, 0.0000, 0.6304)  -0.26
Ti (0.0000, 0.0000, 0.1238)  0.00
Ti (0.0000, 0.0000, 0.3696)  -0.26
Ti (0.0000, 0.0000, 0.8762)  0.00
Mn (0.0000, 0.0000, 0.5000)  3.73

- Space-group type: P-3m1 (164)
- Crystal system: trigonal

=====

6.
# Ti2MnS2

A crystal of Ti2MnS2 relaxed with PBEsol (meta-GGA SCAN, the Alexandria database).

Cell lengths 4.6771, 4.8708, 4.6771 Å; angles 61.31, 90.00, 118.69 degrees
Site moments in Bohr magnetons follow the coordinates.
Sites, in units of the cell vectors:
S (0.6916, 0.3832, 0.3084)  0.00
S (0.3084, 0.6168, 0.6916)  0.00
Mn (0.0000, 0.0000, 0.0000)  3.20
Ti (0.2500, 0.5000, 0.2500)  -0.33
Ti (0.7500, 0.5000, 0.7500)  -0.33

- Space-group type: I4/mmm (139)
- Crystal system: tetragonal

=====

Number 1: final energy -17.415 eV/atom. Number 2: final energy -29.022 eV/atom. Number 3: final energy -24.953 eV/atom. Number 4: final energy -13.577 eV/atom. Number 5: final energy -13.660 eV/atom. Number 6: final energy -14.648 eV/atom.